# TaV3W6 | Alexandria via LeMat-Bulk | PBE | optimized geometry
data_TaV3W6
_chemical_formula_sum 'Ta2 V6 W12'
_space_group_name_H-M_alt 'P 1'
_space_group_IT_number 1
_space_group_name_Hall 'P 1'
_cell_length_a 2.7435
_cell_length_b 9.2402
_cell_length_c 13.0479
_cell_angle_alpha 77.36
_cell_angle_beta 89.96
_cell_angle_gamma 84.21
loop_
_atom_site_label
_atom_site_type_symbol
_atom_site_fract_x
_atom_site_fract_y
_atom_site_fract_z
Ta1 Ta 0.2390 0.3691 0.3713
Ta2 Ta 0.7610 0.6309 0.6287
V1 V 0.2115 0.3607 0.0238
V2 V 0.3562 0.9236 0.5948
V3 V 0.3558 0.9373 0.2624
V4 V 0.6442 0.0627 0.7376
V5 V 0.6438 0.0764 0.4052
V6 V 0.7885 0.6393 0.9762
W1 W 0.0707 0.7899 0.1183
W2 W 0.0754 0.7807 0.7825
W3 W 0.0968 0.8017 0.4462
W4 W 0.2383 0.3440 0.6884
W5 W 0.3588 0.9241 0.9265
W6 W 0.4981 0.4960 0.8339
W7 W 0.5019 0.5040 0.1661
W8 W 0.6412 0.0759 0.0735
W9 W 0.7617 0.6560 0.3116
W10 W 0.9032 0.1983 0.5538
W11 W 0.9246 0.2193 0.2175
W12 W 0.9293 0.2101 0.8817
# - N(E_F): 0.7041 states/eV/atom
# - VASP energy: -116.19 eV per formula unit
# - DFT formation energy: 0.73 eV per formula unit
# - Density: 14.864 g/cm³

---

# Ta2V2W7 | Alexandria via LeMat-Bulk | PBE | optimized geometry
data_Ta2V2W7
_chemical_formula_sum 'Ta2 V2 W7'
_space_group_name_H-M_alt 'P 1'
_space_group_IT_number 1
_space_group_name_Hall 'P 1'
_cell_length_a 5.1544
_cell_length_b 5.1544
_cell_length_c 7.3268
_cell_angle_alpha 99.00
_cell_angle_beta 99.00
_cell_angle_gamma 105.05
loop_
_atom_site_label
_atom_site_type_symbol
_atom_site_fract_x
_atom_site_fract_y
_atom_site_fract_z
Ta1 Ta 0.1830 0.8170 0.0000
Ta2 Ta 0.8170 0.1830 0.0000
V1 V 0.1034 0.1034 0.3485
V2 V 0.8966 0.8966 0.6515
W1 W 0.0177 0.4133 0.6762
W2 W 0.3921 0.3921 0.1272
W3 W 0.4133 0.0177 0.6762
W4 W 0.5000 0.5000 0.5000
W5 W 0.5867 0.9823 0.3238
W6 W 0.6079 0.6079 0.8728
W7 W 0.9823 0.5867 0.3238
# - N(E_F): 1.0294 states/eV/atom
# - VASP energy: -129.55 eV per formula unit
# - DFT formation energy: 3.07 eV per formula unit
# - Density: 16.003 g/cm³

---

Q: Which of these has the highest N(E_F)?
A: Ta2V2W7